# 1
Density functional theory data (PBE-GGA) for TlRe3Cl after structural relaxation.

The distance to the lowest polymorph of the same formula is 0.000 eV/f.u. The value obtained for the calculated total energy is -6.40 eV per atom. For the density of states at the Fermi level, the calculation gives 1.031 states/eV per atom. Its space group is Pm-3m (221). The formation energy without anion corrections comes out at 184 kJ per mole of atoms.

a = 4.439 Å, b = 4.439 Å, c = 4.439 Å
α = 90.00°, β = 90.00°, γ = 90.00°
Fractional coordinates of all 5 atoms:
Re: 0.000 0.000 0.500
Re: 0.000 0.500 0.000
Cl: 0.000 0.000 0.000
Tl: 0.500 0.500 0.500
Re: 0.500 0.000 0.000



# 2
Density functional theory data (PBE-GGA) for RbP2C after structural relaxation.

The value obtained for the calculated total energy is -4.58 eV per atom. For the density of states at the Fermi level, the calculation gives 0.304 states/eV per atom. Its space group is I-42d (122). For the energy of formation, the calculation gives 0.67 eV/atom.

a = 6.499 Å, b = 6.499 Å, c = 5.953 Å
α = 56.92°, β = 56.92°, γ = 90.00°
Fractional coordinates of all 8 atoms:
C: 0.500 0.500 0.000
P: 0.275 0.625 0.250
Rb: 0.750 0.250 0.500
P: 0.375 0.525 0.750
C: 0.250 0.750 0.500
P: 0.875 0.725 0.750
Rb: 0.000 0.000 0.000
P: 0.475 0.125 0.250



# 3
Density functional theory data (PBE-GGA) for Tl2C2N after structural relaxation.

The value obtained for the calculated total energy is -3.10 eV per atom. For the density of states at the Fermi level, the calculation gives 0.661 states/eV per atom. Its space group is P4/mmm (123). The formation energy without anion corrections comes out at 309 kJ per mole of atoms.

a = 4.338 Å, b = 4.338 Å, c = 7.069 Å
α = 90.00°, β = 90.00°, γ = 90.00°
Fractional coordinates of all 5 atoms:
C: 0.000 0.500 0.000
Tl: 0.000 0.000 0.500
Tl: 0.000 0.000 0.000
N: 0.500 0.500 0.500
C: 0.500 0.000 0.000



# 4
Density functional theory data (PBE-GGA) for MgTiSeBr2 after structural relaxation.

The distance to the lowest polymorph of the same formula is 0.000 eV/f.u. The value obtained for the calculated total energy is -3.88 eV per atom. For the density of states at the Fermi level, the calculation gives 0.688 states/eV per atom. Its space group is P4/mmm (123). The formation energy without anion corrections comes out at -59 kJ per mole of atoms.

a = 5.177 Å, b = 5.177 Å, c = 5.040 Å
α = 90.00°, β = 90.00°, γ = 90.00°
Fractional coordinates of all 5 atoms:
Ti: 0.000 0.000 0.000
Mg: 0.500 0.500 0.500
Br: 0.000 0.500 0.000
Se: 0.000 0.000 0.500
Br: 0.500 0.000 0.000



# 5
Density functional theory data (PBE-GGA) for Ba2TcW after structural relaxation.

The distance to the lowest polymorph of the same formula is 5.098 eV/f.u. The value obtained for the calculated total energy is -5.01 eV per atom. For the density of states at the Fermi level, the calculation gives 1.522 states/eV per atom. Its space group is P4/mmm (123). For the energy of formation, the calculation gives 1.78 eV/atom.

a = 4.034 Å, b = 4.034 Å, c = 7.303 Å
α = 90.00°, β = 90.00°, γ = 90.00°
Fractional coordinates of all 4 atoms:
W: 0.500 0.500 0.750
Ba: 0.000 0.000 0.496
Ba: 0.000 0.000 0.004
Tc: 0.500 0.500 0.250



# 6
Density functional theory data (PBE-GGA) for Nd3YSe4 after structural relaxation.

The value obtained for the calculated total energy is -6.15 eV per atom. For the density of states at the Fermi level, the calculation gives 0.624 states/eV per atom. Its space group is Cmmm (65). The formation energy without anion corrections comes out at -175 kJ per mole of atoms.

a = 4.141 Å, b = 7.301 Å, c = 7.301 Å
α = 108.82°, β = 90.00°, γ = 90.00°
Fractional coordinates of all 8 atoms:
Nd: 0.000 0.000 0.500
Nd: 0.500 0.500 0.500
Y: 0.500 0.000 0.000
Se: 0.000 0.241 0.241
Nd: 0.000 0.500 0.000
Se: 0.500 0.755 0.245
Se: 0.000 0.759 0.759
Se: 0.500 0.245 0.755



# 7
Density functional theory data (PBE-GGA) for CaFeIrCl2 after structural relaxation.

The value obtained for the calculated total energy is -4.72 eV per atom. For the density of states at the Fermi level, the calculation gives 0.900 states/eV per atom. Its space group is P4/mmm (123). The formation energy without anion corrections comes out at -12 kJ per mole of atoms.

a = 4.607 Å, b = 4.644 Å, c = 4.607 Å
α = 90.00°, β = 90.00°, γ = 90.00°
Fractional coordinates of all 5 atoms:
Cl: 0.500 0.000 0.000
Ir: 0.000 0.500 0.000
Cl: 0.000 0.000 0.500
Ca: 0.500 0.500 0.500
Fe: 0.000 0.000 0.000



# 8
Density functional theory data (PBE-GGA) for BaPaBi2 after structural relaxation.

The distance to the lowest polymorph of the same formula is 0.328 eV/f.u. The value obtained for the calculated total energy is -5.21 eV per atom. For the density of states at the Fermi level, the calculation gives 1.273 states/eV per atom. Its space group is P4/mmm (123). For the energy of formation, the calculation gives -0.42 eV/atom.

a = 3.977 Å, b = 3.977 Å, c = 8.519 Å
α = 90.00°, β = 90.00°, γ = 90.00°
Fractional coordinates of all 4 atoms:
Ba: 0.500 0.500 0.500
Pa: 0.500 0.500 0.000
Bi: 0.000 0.000 0.786
Bi: 0.000 0.000 0.214



# 9
Density functional theory data (PBE-GGA) for CePuBiO2 after structural relaxation.

The value obtained for the calculated total energy is -9.23 eV per atom. For the density of states at the Fermi level, the calculation gives 2.282 states/eV per atom. Its space group is I4mm (107). The formation energy without anion corrections comes out at -234 kJ per mole of atoms.

a = 3.977 Å, b = 3.977 Å, c = 7.203 Å
α = 106.03°, β = 106.03°, γ = 90.00°
Fractional coordinates of all 5 atoms:
O: 0.750 0.250 0.501
Bi: 0.503 0.503 0.005
Ce: 0.838 0.838 0.676
Pu: 0.159 0.159 0.318
O: 0.250 0.750 0.501



# 10
Density functional theory data (PBE-GGA) for Mg3Sn2Hg3 after structural relaxation.

The value obtained for the calculated total energy is -1.82 eV per atom. For the density of states at the Fermi level, the calculation gives 0.380 states/eV per atom. Its space group is Immm (71). For the energy of formation, the calculation gives -0.11 eV/atom.

a = 10.186 Å, b = 10.186 Å, c = 10.186 Å
α = 156.27°, β = 153.56°, γ = 35.82°
Fractional coordinates of all 8 atoms:
Sn: 0.745 0.245 0.500
Hg: 0.386 0.386 0.000
Mg: 0.500 0.000 0.500
Hg: 0.000 0.500 0.500
Mg: 0.124 0.124 0.000
Sn: 0.255 0.755 0.500
Hg: 0.614 0.614 0.000
Mg: 0.876 0.876 0.000



# 11
Density functional theory data (PBE-GGA) for Er2TmTl2Ag2 after structural relaxation.

The value obtained for the calculated total energy is -3.55 eV per atom. For the density of states at the Fermi level, the calculation gives 0.958 states/eV per atom. Its space group is R-3m (166). For the energy of formation, the calculation gives -0.12 eV/atom.

a = 4.885 Å, b = 4.885 Å, c = 8.945 Å
α = 74.16°, β = 74.16°, γ = 60.00°
Fractional coordinates of all 7 atoms:
Er: 0.132 0.132 0.603
Tl: 0.734 0.734 0.799
Ag: 0.435 0.435 0.696
Tm: 0.000 0.000 0.000
Tl: 0.266 0.266 0.201
Ag: 0.565 0.565 0.304
Er: 0.868 0.868 0.397



# 12
Density functional theory data (PBE-GGA) for Li3Ag4Pb2 after structural relaxation.

The distance to the lowest polymorph of the same formula is 0.000 eV/f.u. The value obtained for the calculated total energy is -2.89 eV per atom. For the density of states at the Fermi level, the calculation gives 0.206 states/eV per atom. Its space group is P-1 (2). For the energy of formation, the calculation gives -0.16 eV/atom.

a = 4.756 Å, b = 4.807 Å, c = 10.106 Å
α = 60.62°, β = 76.21°, γ = 60.83°
Fractional coordinates of all 9 atoms:
Li: 0.000 0.000 0.000
Ag: 0.331 0.239 0.095
Ag: 0.669 0.761 0.905
Ag: 0.001 0.659 0.342
Pb: 0.666 0.432 0.237
Li: 0.333 0.911 0.423
Ag: 0.999 0.341 0.658
Li: 0.667 0.089 0.577
Pb: 0.334 0.568 0.763



# 13
Density functional theory data (PBE-GGA) for Cs4Hg5As2 after structural relaxation.

The value obtained for the calculated total energy is -1.57 eV per atom. For the density of states at the Fermi level, the calculation gives 0.390 states/eV per atom. Its space group is P2/m (10). For the energy of formation, the calculation gives -0.28 eV/atom.

a = 5.562 Å, b = 8.545 Å, c = 9.719 Å
α = 91.83°, β = 90.00°, γ = 90.00°
Fractional coordinates of all 11 atoms:
Cs: 0.500 0.236 0.399
As: 0.000 0.939 0.385
Cs: 0.500 0.764 0.601
Hg: 0.000 0.865 0.866
As: 0.000 0.061 0.615
Cs: 0.500 0.215 0.853
Hg: 0.000 0.135 0.134
Hg: 0.000 0.414 0.642
Cs: 0.500 0.785 0.147
Hg: 0.000 0.586 0.358
Hg: 0.000 0.500 0.000



# 14
Density functional theory data (PBE-GGA) for K2AlHAu after structural relaxation.

The value obtained for the calculated total energy is -2.34 eV per atom. For the density of states at the Fermi level, the calculation gives 0.651 states/eV per atom. Its space group is P4/mmm (123).

a = 5.879 Å, b = 3.820 Å, c = 5.879 Å
α = 90.00°, β = 90.00°, γ = 90.00°
Fractional coordinates of all 5 atoms:
Al: 0.500 0.500 0.500
K: 0.500 0.000 0.000
Au: 0.000 0.500 0.000
H: 0.000 0.000 0.000
K: 0.000 0.000 0.500



# 15
Density functional theory data (PBE-GGA) for BeBi3S after structural relaxation.

The distance to the lowest polymorph of the same formula is 0.000 eV/f.u. The value obtained for the calculated total energy is -3.30 eV per atom. For the density of states at the Fermi level, the calculation gives 1.319 states/eV per atom. Its space group is Pm-3m (221). The formation energy without anion corrections comes out at 58 kJ per mole of atoms.

a = 5.070 Å, b = 5.070 Å, c = 5.070 Å
α = 90.00°, β = 90.00°, γ = 90.00°
Fractional coordinates of all 5 atoms:
Bi: 0.500 0.000 0.000
Bi: 0.000 0.000 0.500
S: 0.500 0.500 0.500
Bi: 0.000 0.500 0.000
Be: 0.000 0.000 0.000



# 16
Density functional theory data (PBE-GGA) for LiHoCdSn after structural relaxation.

The distance to the lowest polymorph of the same formula is 0.000 eV/f.u. The value obtained for the calculated total energy is -3.29 eV per atom. For the density of states at the Fermi level, the calculation gives 0.369 states/eV per atom. Its space group is Pmmm (47). For the energy of formation, the calculation gives -0.44 eV/atom.

a = 4.225 Å, b = 4.551 Å, c = 4.839 Å
α = 90.00°, β = 90.00°, γ = 90.00°
Fractional coordinates of all 4 atoms:
Sn: 0.000 0.500 0.500
Li: 0.500 0.500 0.000
Cd: 0.000 0.000 0.000
Ho: 0.500 0.000 0.500



# 17
Density functional theory data (PBE-GGA) for CeDyEr after structural relaxation.

The distance to the lowest polymorph of the same formula is 1.998 eV/f.u. The value obtained for the calculated total energy is -4.30 eV per atom. For the density of states at the Fermi level, the calculation gives 2.371 states/eV per atom. Its space group is P2_13 (198). For the energy of formation, the calculation gives 0.73 eV/atom.

a = 7.369 Å, b = 7.369 Å, c = 7.369 Å
α = 90.00°, β = 90.00°, γ = 90.00°
Fractional coordinates of all 12 atoms:
Ce: 0.871 0.371 0.129
Ce: 0.371 0.129 0.871
Dy: 0.662 0.838 0.162
Dy: 0.338 0.338 0.338
Ce: 0.129 0.871 0.371
Er: 0.469 0.969 0.531
Er: 0.031 0.031 0.031
Er: 0.531 0.469 0.969
Ce: 0.629 0.629 0.629
Dy: 0.838 0.162 0.662
Dy: 0.162 0.662 0.838
Er: 0.969 0.531 0.469



# 18
Density functional theory data (PBE-GGA) for SiAsP2 after structural relaxation.

The distance to the lowest polymorph of the same formula is 1.507 eV/f.u. The value obtained for the calculated total energy is -4.75 eV per atom. For the density of states at the Fermi level, the calculation gives 0.441 states/eV per atom. Its space group is Immm (71). The formation energy without anion corrections comes out at 46 kJ per mole of atoms.

a = 5.580 Å, b = 5.580 Å, c = 5.580 Å
α = 145.20°, β = 134.13°, γ = 58.84°
Fractional coordinates of all 4 atoms:
Si: 0.750 0.250 0.500
P: 0.576 0.576 0.000
P: 0.924 0.924 0.000
As: 0.250 0.750 0.500



# 19
Density functional theory data (PBE-GGA) for Y2ZrIn after structural relaxation.

The distance to the lowest polymorph of the same formula is 0.167 eV/f.u. The value obtained for the calculated total energy is -6.21 eV per atom. For the density of states at the Fermi level, the calculation gives 1.025 states/eV per atom. Its space group is P4mm (99). For the energy of formation, the calculation gives -0.16 eV/atom.

a = 3.459 Å, b = 3.459 Å, c = 9.119 Å
α = 90.00°, β = 90.00°, γ = 90.00°
Fractional coordinates of all 4 atoms:
In: 0.500 0.500 0.735
Zr: 0.000 0.000 0.519
Y: 0.500 0.500 0.275
Y: 0.000 0.000 0.971



# 20
Density functional theory data (PBE-GGA) for BaNbPO2 after structural relaxation.

The distance to the lowest polymorph of the same formula is 11.066 eV/f.u. The value obtained for the calculated total energy is -5.05 eV per atom. For the density of states at the Fermi level, the calculation gives 0.909 states/eV per atom. Its space group is P4/mmm (123). The formation energy without anion corrections comes out at 40 kJ per mole of atoms.

a = 4.276 Å, b = 4.276 Å, c = 6.530 Å
α = 90.00°, β = 90.00°, γ = 90.00°
Fractional coordinates of all 5 atoms:
Ba: 0.000 0.000 0.000
O: 0.500 0.000 0.000
P: 0.000 0.000 0.500
O: 0.000 0.500 0.000
Nb: 0.500 0.500 0.500



# 21
Density functional theory data (PBE-GGA) for HoSnPb2Se5 after structural relaxation.

The value obtained for the calculated total energy is -4.52 eV per atom. For the density of states at the Fermi level, the calculation gives 0.387 states/eV per atom. Its space group is Cmc2_1 (36). The formation energy without anion corrections comes out at -78 kJ per mole of atoms.

a = 4.217 Å, b = 9.389 Å, c = 13.553 Å
α = 90.00°, β = 90.00°, γ = 102.98°
Fractional coordinates of all 18 atoms:
Se: 0.945 0.890 0.574
Ho: 0.788 0.575 0.522
Pb: 0.132 0.263 0.298
Se: 0.634 0.267 0.510
Pb: 0.868 0.737 0.798
Se: 0.055 0.110 0.074
Pb: 0.880 0.760 0.162
Se: 0.366 0.733 0.010
Se: 0.315 0.629 0.382
Se: 0.685 0.371 0.882
Se: 0.281 0.561 0.667
Ho: 0.212 0.425 0.022
Sn: 0.543 0.086 0.946
Pb: 0.120 0.240 0.662
Se: 0.719 0.439 0.167
Sn: 0.457 0.914 0.446
Se: 0.483 0.967 0.764
Se: 0.517 0.033 0.264



# 22
Density functional theory data (PBE-GGA) for Pu2InHg after structural relaxation.

The value obtained for the calculated total energy is -8.07 eV per atom. For the density of states at the Fermi level, the calculation gives 2.979 states/eV per atom. Its space group is P4/mmm (123). For the energy of formation, the calculation gives -0.15 eV/atom.

a = 4.902 Å, b = 4.497 Å, c = 4.497 Å
α = 90.00°, β = 90.00°, γ = 90.00°
Fractional coordinates of all 4 atoms:
Pu: 0.000 0.000 0.500
In: 0.500 0.500 0.500
Hg: 0.500 0.000 0.000
Pu: 0.000 0.500 0.000